DFT (PBE) results for a geometry-optimized LiZrCrAu2 structure.

Unit cell a=5.101 b=4.887 c=5.101 alpha=90.00 beta=90.00 gamma=90.00
Fractional positions:
Cr1 0.500 0.500 0.500
Au1 0.000 0.000 0.500
Au2 0.500 0.000 0.000
Zr1 0.000 0.000 0.000
Li1 0.000 0.500 0.000

Properties
energy of formation = 1.5489 eV per atom
total magnetization = 1.72 μB per formula unit
calculated volume = 25.437 A^3/atom

=====

DFT (PBE) results for a geometry-optimized LiScPbSe2 structure.

Unit cell a=5.714 b=5.388 c=5.714 alpha=90.00 beta=90.00 gamma=90.00
Fractional positions:
Pb1 0.000 0.000 0.000
Sc1 0.000 0.500 0.000
Se1 0.000 0.000 0.500
Se2 0.500 0.000 0.000
Li1 0.500 0.500 0.500

Properties
E_form (uncorrected) = 0.2844 eV/atom
total magnetization = 0.00 μB per formula unit
calculated volume = 35.189 A^3/atom

=====

no.,energy (eV/atom),DOS(E_F) (states/eV/cell)
1,-3.78,7.6
2,-3.50,1.2